Here is an optimized crystal structure of Mn3Co2NiP6O24 from Alexandria. Energies are from GGA+U.

V (Å³/atom): 12.02
Space group: R3, No. 146
VASP energy (eV per atom): -6.932

Cell lengths 8.4051, 8.4051, 8.4051 Å; angles 61.37, 61.37, 61.37 degrees
Site moments in Bohr magnetons follow the coordinates.
Element x y z (fractional)
O1 0.8865 0.6688 0.5069  0.00
O2 0.8207 0.6103 0.0056  0.05
O3 0.3105 0.5148 0.1158  0.04
O4 0.5889 0.4456 0.2439  0.13
O5 0.7530 0.9348 0.0948  0.13
O6 0.6688 0.5069 0.8865  0.00
O7 0.5069 0.8865 0.6688  0.00
O8 0.1158 0.3105 0.5148  0.04
O9 0.5148 0.1158 0.3105  0.04
O10 0.2551 0.0527 0.9011  0.12
O11 0.3936 0.9846 0.1853  0.07
O12 0.4456 0.2439 0.5889  0.13
O13 0.6103 0.0056 0.8207  0.05
O14 0.9846 0.1853 0.3936  0.07
O15 0.1853 0.3936 0.9846  0.07
O16 0.9348 0.0948 0.7530  0.13
O17 0.2439 0.5889 0.4456  0.13
O18 0.5641 0.7519 0.4137  0.11
O19 0.7519 0.4137 0.5641  0.11
O20 0.9011 0.2551 0.0527  0.12
O21 0.4137 0.5641 0.7519  0.11
O22 0.0527 0.9011 0.2551  0.12
O23 0.0056 0.8207 0.6103  0.05
O24 0.0948 0.7530 0.9348  0.13
P1 0.2493 0.5460 0.9557  0.00
P2 0.5460 0.9557 0.2493  0.00
P3 0.9557 0.2493 0.5460  0.00
P4 0.7491 0.4568 0.0404  0.00
P5 0.0404 0.7491 0.4568  0.00
P6 0.4568 0.0404 0.7491  0.00
Mn1 0.3572 0.3572 0.3572  -3.73
Mn2 0.8578 0.8578 0.8578  -3.75
Mn3 0.6417 0.6417 0.6417  -3.18
Ni1 0.1417 0.1417 0.1417  1.83
Co1 0.0020 0.0020 0.0020  3.00
Co2 0.4994 0.4994 0.4994  2.89